! Pm2Nd5Dy2 PBE relaxed; values from VASP
! **VASP energy**: -4.523 eV/atom
! **Excess energy over the best structure of this formula in the dataset**: 189 meV per atom
! **ΔE_f**: 19.7 kJ per mole of atoms
! **Magnetization**: 0.00 Bohr magnetons per cell
&SYSTEM
  ibrav = 0, nat = 18, ntyp = 3
/
ATOMIC_SPECIES
Pm 145.00 Pm.upf
Nd 144.24 Nd.upf
Dy 162.50 Dy.upf
CELL_PARAMETERS angstrom
-11.183 -4.256 -0.352
1.314 -3.911 5.528
2.665 9.672 1.905
ATOMIC_POSITIONS crystal
Pm 0.623 0.183 0.253
Nd 0.201 0.158 0.895
Dy 0.000 0.035 0.000
Nd 0.622 0.735 0.714
Nd 0.194 0.658 0.895
Dy 0.258 0.350 0.500
Nd 0.799 0.264 0.105
Pm 0.870 0.430 0.747
Nd 0.007 0.658 0.500
Nd 0.993 0.158 0.500
Nd 0.591 0.236 0.714
Dy 0.500 0.535 0.000
Nd 0.806 0.764 0.105
Nd 0.378 0.022 0.286
Pm 0.130 0.683 0.253
Nd 0.409 0.522 0.286
Dy 0.742 0.850 0.500
Pm 0.377 0.930 0.747



! Pm3Nd3Dy4 PBE relaxed; values from VASP
! **VASP energy**: -4.602 eV/atom
! **ΔE_f**: 9.1 kJ per mole of atoms
! **Magnetization**: 0.00 Bohr magnetons per cell
&SYSTEM
  ibrav = 0, nat = 10, ntyp = 3
/
ATOMIC_SPECIES
Pm 145.00 Pm.upf
Dy 162.50 Dy.upf
Nd 144.24 Nd.upf
CELL_PARAMETERS angstrom
3.701 0.000 0.000
0.000 9.615 -0.046
0.000 0.039 9.615
ATOMIC_POSITIONS crystal
Pm 0.500 0.175 0.825
Dy 0.000 0.124 0.123
Pm 0.000 0.499 0.000
Nd 0.500 0.674 0.675
Pm 0.000 0.000 0.501
Nd 0.500 0.325 0.326
Dy 0.000 0.376 0.624
Nd 0.500 0.826 0.174
Dy 0.000 0.623 0.377
Dy 0.000 0.877 0.876